Compound: NbCuSnPd
Source: OQMD via LeMat-Bulk
Functional: PBE-GGA
Structure: optimized geometry

Lattice parameters (Å, degrees): 4.5604 4.5604 4.5604 60.00 60.00 60.00
Fractional coordinates of all 4 atoms:
Cu1 0.7500 0.7500 0.7500
Nb1 0.5000 0.5000 0.5000
Pd1 0.2500 0.2500 0.2500
Sn1 0.0000 0.0000 0.0000

Summary:
* mass density: 9.4 g cm⁻³
* E above lowest polymorph: 0.0000 eV per atom
* volume: 16.77 A^3/atom
* E_tot: -5.80 eV per atom
* crystal system: cubic